Entry 1:
The following is a DFT calculation (PBE-GGA) of a relaxed HfInS2F crystal.

Structure (extended XYZ):
```
5
Lattice="-2.721 0.262 -4.229 -3.504 -2.965 2.071 -1.982 3.379 1.485" Properties=species:S:1:pos:R:3 pbc="T T T"
In -4.104 0.338 -0.337
F -0.991 1.690 0.742
S -1.752 -1.483 1.035
S -1.361 0.131 -2.115
Hf 0.000 0.000 0.000
```

total DFT energy (no corrections) = -31.0 eV for the cell shown
theoretical density = 5.9 g/cm3
E_form (uncorrected) = -1.6293 eV/atom

Entry 2:
The following is a DFT calculation (PBE-GGA) of a relaxed AlHgBr2 crystal.

Structure (extended XYZ):
```
4
Lattice="-2.850 -2.448 5.828 -2.051 -5.309 3.961 4.080 -2.762 5.977" Properties=species:S:1:pos:R:3 pbc="T T T"
Br -0.813 -8.763 13.078
Hg -1.428 -5.200 7.356
Br -3.080 -7.236 9.769
Al -0.810 -2.337 3.234
```

total DFT energy (no corrections) = -9.3 eV for the cell shown
theoretical density = 4.3 g/cm3
E_form (uncorrected) = -0.4662 eV/atom

Entry 3:
The following is a DFT calculation (PBE-GGA) of a relaxed ScHg2Se crystal.

Structure (extended XYZ):
```
4
Lattice="-3.267 -8.119 -1.088 -1.358 -8.426 2.224 -4.915 -6.989 2.186" Properties=species:S:1:pos:R:3 pbc="T T T"
Hg -2.304 -5.684 0.802
Se -7.367 -18.174 2.566
Hg -9.486 -23.400 3.304
Sc -4.693 -11.577 1.634
```

total DFT energy (no corrections) = -13.0 eV for the cell shown
theoretical density = 8.0 g/cm3
E_form (uncorrected) = -0.6362 eV/atom

Entry 4:
The following is a DFT calculation (PBE-GGA) of a relaxed HIrSe3 crystal.

Structure (extended XYZ):
```
10
Lattice="-4.740 0.334 1.137 -3.254 -3.301 -4.358 -0.482 -6.651 2.124" Properties=species:S:1:pos:R:3 pbc="T T T"
Ir -4.302 -1.580 -1.204
H -6.020 -8.562 -0.274
Se -5.146 -5.267 -1.575
Ir -6.632 -3.300 -2.133
H -5.592 -2.684 -0.839
Se -3.103 -3.734 -1.045
Se -2.944 -6.767 1.938
Se -0.426 -1.763 0.058
Se -5.635 -5.854 0.694
Se -3.811 -8.258 -1.420
```

total DFT energy (no corrections) = -46.0 eV for the cell shown
theoretical density = 7.3 g/cm3

Entry 5:
The following is a DFT calculation (PBE-GGA) of a relaxed KNpRe2N6 crystal.

Structure (extended XYZ):
```
20
Lattice="-4.446 1.226 4.550 -6.628 -1.940 -3.336 -0.477 -6.573 3.924" Properties=species:S:1:pos:R:3 pbc="T T T"
N -7.234 -3.528 0.642
Re -4.609 -2.087 3.869
Np -8.107 -2.418 2.267
N -6.876 -4.859 5.962
N -10.177 -2.837 1.333
Re -3.419 -1.922 0.375
N -1.374 -4.450 3.805
Np -3.444 -4.869 2.871
Re -6.942 -5.200 1.269
N -4.317 -3.759 4.496
K -7.205 -2.037 -1.567
Re -8.132 -5.365 4.762
N -7.584 -4.808 3.023
N -7.967 -0.546 0.923
K -4.347 -5.250 6.705
N -3.967 -2.479 2.115
N -5.093 -5.623 1.064
N -6.458 -1.664 4.074
N -4.675 -2.428 -0.825
N -3.584 -6.741 4.215
```

total DFT energy (no corrections) = -182.9 eV for the cell shown
theoretical density = 6.8 g/cm3
E_form (uncorrected) = -0.2583 eV/atom

Entry 6:
The following is a DFT calculation (PBE-GGA) of a relaxed Ta2SiTe crystal.

Structure (extended XYZ):
```
4
Lattice="-1.917 2.260 -0.117 -0.263 -0.071 2.953 6.826 5.828 0.747" Properties=species:S:1:pos:R:3 pbc="T T T"
Ta 6.760 5.771 0.740
Ta 0.543 2.489 1.597
Te 3.300 2.817 0.361
Si 4.283 5.682 2.007
```

total DFT energy (no corrections) = -31.0 eV for the cell shown
theoretical density = 10.8 g/cm3
E_form (uncorrected) = 0.3056 eV/atom

Entry 7:
The following is a DFT calculation (PBE-GGA) of a relaxed TlAu2 crystal.

Structure (extended XYZ):
```
6
Lattice="2.999 0.000 0.000 0.000 5.553 0.000 0.000 0.000 7.932" Properties=species:S:1:pos:R:3 pbc="T T T"
Au 2.218 0.000 2.738
Au 0.782 0.000 5.193
Tl 1.500 2.777 3.966
Tl 0.000 0.000 0.000
Au 0.718 2.777 1.228
Au 2.281 2.777 6.704
```

total DFT energy (no corrections) = -17.0 eV for the cell shown
theoretical density = 15.0 g/cm3
DFT formation energy = 0.13 eV per atom

Entry 8:
The following is a DFT calculation (PBE-GGA) of a relaxed Sm2YAg6 crystal.

Structure (extended XYZ):
```
9
Lattice="-1.282 -4.314 -2.901 -1.512 -4.524 2.473 -8.585 0.225 0.999" Properties=species:S:1:pos:R:3 pbc="T T T"
Ag -5.223 -2.825 0.417
Ag -2.936 -4.429 1.747
Sm -2.360 -2.862 -0.873
Sm -9.019 -5.751 1.445
Ag -8.443 -4.184 -1.175
Ag -3.294 -5.820 -1.019
Ag -6.156 -5.788 0.155
Ag -8.085 -2.793 1.591
Y -4.292 0.112 0.500
```

total DFT energy (no corrections) = -35.1 eV for the cell shown
theoretical density = 8.4 g/cm3
DFT formation energy = -0.23 eV per atom